# 1
Computed, not measured: AcLaPtBr after structural relaxation at the PBE-GGA level of DFT.

Cell lengths 4.3518, 4.3518, 24.4493 Å; angles 90.00, 90.00, 120.00 degrees
Space group R3m (No. 160, hexagonal axes)
Inequivalent atoms, fractional coordinates:
Ac (0.0000, 0.0000, 0.0000) (multiplicity 3)
La (0.0000, 0.0000, 0.2027) (multiplicity 3)
Pt (0.0000, 0.0000, 0.5981) (multiplicity 3)
Br (0.0000, 0.0000, 0.7737) (multiplicity 3)

Results
Calculated volume (Å³ per atom): 33.42
DOS at the Fermi energy (states/eV per atom): 0.806
M_tot (μB per atom): 0.00
Energy relative to the elements, uncorrected (eV per atom): -1.330

***

# 2
Computed, not measured: MoPCS2 after structural relaxation at the PBE-GGA level of DFT.

Cell lengths 4.609, 4.609, 4.794 Å; angles 90.00, 90.00, 90.00 degrees
Space group P4/mmm (No. 123)
Inequivalent atoms, fractional coordinates:
Mo (0.000, 0.000, 0.000) (multiplicity 1)
P (0.000, 0.000, 0.500) (multiplicity 1)
C (0.500, 0.500, 0.500) (multiplicity 1)
S (0.000, 0.500, 0.000) (multiplicity 2)

Results
Calculated volume (Å³ per atom): 20.37
Energy above the most stable polymorph in this dataset (kJ/mol of formula units): 200
DOS at the Fermi energy (states/eV per atom): 0.799
M_tot (μB per atom): 0.36
Energy relative to the elements, uncorrected (eV per atom): 1.565

***

# 3
Computed, not measured: Rb2NdYTe4 after structural relaxation at the PBE-GGA level of DFT.

Cell lengths 7.950, 4.591, 8.963 Å; angles 90.00, 107.18, 90.00 degrees
Space group P2/m (No. 10)
Inequivalent atoms, fractional coordinates:
Rb (0.000, 0.000, 0.000) (multiplicity 1)
Rb (0.500, 0.500, 0.000) (multiplicity 1)
Nd (0.000, 0.500, 0.500) (multiplicity 1)
Y (0.500, 0.000, 0.500) (multiplicity 1)
Te (0.241, 0.000, 0.704) (multiplicity 2)
Te (0.273, 0.500, 0.299) (multiplicity 2)

Results
Calculated volume (Å³ per atom): 39.06
M_tot (μB per atom): 0.00
Energy relative to the elements, uncorrected (eV per atom): -1.402

***

# 4
Computed, not measured: VReRh after structural relaxation at the PBE-GGA level of DFT.

Cell lengths 8.721, 3.855, 5.335 Å; angles 90.00, 107.40, 90.00 degrees
Space group C2/m (No. 12)
Inequivalent atoms, fractional coordinates:
V (0.167, 0.000, 0.082) (multiplicity 4)
Re (0.166, 0.000, 0.578) (multiplicity 4)
Rh (0.001, 0.500, 0.752) (multiplicity 4)

Results
Formation energy from the elements (kJ per mole of atoms): -11.8
Calculated volume (Å³ per atom): 14.26
Energy above the most stable polymorph in this dataset (kJ/mol of formula units): 10
DOS at the Fermi energy (states/eV per atom): 1.106
M_tot (μB per atom): 0.00

***

# 5
Computed, not measured: GaBi2RuSe after structural relaxation at the PBE-GGA level of DFT.

Cell lengths 5.430, 5.430, 4.698 Å; angles 90.00, 90.00, 90.00 degrees
Space group P4/mmm (No. 123)
Inequivalent atoms, fractional coordinates:
Ga (0.000, 0.000, 0.000) (multiplicity 1)
Bi (0.000, 0.500, 0.000) (multiplicity 2)
Ru (0.000, 0.000, 0.500) (multiplicity 1)
Se (0.500, 0.500, 0.500) (multiplicity 1)

Results
Calculated volume (Å³ per atom): 27.70
DOS at the Fermi energy (states/eV per atom): 0.878
M_tot (μB per atom): 0.33
Energy relative to the elements, uncorrected (eV per atom): 0.873

***

# 6
Computed, not measured: Pt2PbW after structural relaxation at the PBE-GGA level of DFT.

Cell lengths 4.211, 4.211, 7.982 Å; angles 90.00, 90.00, 90.00 degrees
Space group I-4m2 (No. 119)
Inequivalent atoms, fractional coordinates:
Pt (0.000, 0.000, 0.000) (multiplicity 2)
Pt (0.000, 0.500, 0.250) (multiplicity 2)
Pb (0.000, 0.000, 0.500) (multiplicity 2)
W (0.000, 0.500, 0.750) (multiplicity 2)

Results
Formation energy from the elements (kJ per mole of atoms): 41.4
Calculated volume (Å³ per atom): 17.69
DOS at the Fermi energy (states/eV per atom): 1.174
M_tot (μB per atom): 0.18

***

# 7
Computed, not measured: Nd2CrMoN5 after structural relaxation at the PBE-GGA level of DFT.

Cell lengths 3.293, 14.086, 10.024 Å; angles 90.00, 90.00, 90.00 degrees
Space group Cmc2_1 (No. 36)
Inequivalent atoms, fractional coordinates:
Nd (0.000, 0.121, 0.000) (multiplicity 4)
Nd (0.000, 0.133, 0.624) (multiplicity 4)
Cr (0.000, 0.446, 0.761) (multiplicity 4)
Mo (0.000, 0.207, 0.328) (multiplicity 4)
N (0.000, 0.043, 0.342) (multiplicity 4)
N (0.000, 0.298, 0.965) (multiplicity 4)
N (0.000, 0.320, 0.687) (multiplicity 4)
N (0.000, 0.340, 0.316) (multiplicity 4)
N (0.000, 0.498, 0.605) (multiplicity 4)

Results
Calculated volume (Å³ per atom): 12.92
DOS at the Fermi energy (states/eV per atom): 0.456
M_tot (μB per atom): 0.00
Energy relative to the elements, uncorrected (eV per atom): -0.845

***

# 8
Computed, not measured: LiTa4Ti2 after structural relaxation at the PBE-GGA level of DFT.

Cell lengths 4.297, 4.297, 13.962 Å; angles 90.00, 90.00, 90.00 degrees
Space group I4/mmm (No. 139)
Inequivalent atoms, fractional coordinates:
Li (0.000, 0.000, 0.000) (multiplicity 2)
Ta (0.000, 0.000, 0.169) (multiplicity 4)
Ta (0.000, 0.500, 0.000) (multiplicity 4)
Ti (0.000, 0.000, 0.359) (multiplicity 4)

Results
Formation energy from the elements (kJ per mole of atoms): 109.8
Calculated volume (Å³ per atom): 18.41
DOS at the Fermi energy (states/eV per atom): 1.679
M_tot (μB per atom): 0.00

***

# 9
Computed, not measured: Tm6In6Sn after structural relaxation at the PBE-GGA level of DFT.

Cell lengths 6.3132, 6.3132, 10.2957 Å; angles 90.00, 90.00, 120.00 degrees
Space group P6/mmm (No. 191)
Inequivalent atoms, fractional coordinates:
Tm (0.0000, 0.0000, 0.1872) (multiplicity 2)
Tm (0.3333, 0.6667, 0.0000) (multiplicity 2)
Tm (0.3333, 0.6667, 0.5000) (multiplicity 2)
In (0.0000, 0.5000, 0.2491) (multiplicity 6)
Sn (0.0000, 0.0000, 0.5000) (multiplicity 1)

Results
Formation energy from the elements (kJ per mole of atoms): -26.8
Calculated volume (Å³ per atom): 27.34
DOS at the Fermi energy (states/eV per atom): 0.825
M_tot (μB per atom): 0.00

***

# 10
Computed, not measured: SrLi3Pb after structural relaxation at the PBE-GGA level of DFT.

Cell lengths 10.361, 19.127, 5.188 Å; angles 90.00, 90.00, 90.00 degrees
Space group Cmce (No. 64)
Inequivalent atoms, fractional coordinates:
Sr (0.000, 0.094, 0.246) (multiplicity 8)
Li (0.000, 0.206, 0.747) (multiplicity 8)
Li (0.248, 0.000, 0.500) (multiplicity 8)
Li (0.250, 0.214, 0.250) (multiplicity 8)
Pb (0.250, 0.128, 0.750) (multiplicity 8)

Results
Formation energy from the elements (kJ per mole of atoms): -20.7
Calculated volume (Å³ per atom): 25.71
Energy above the most stable polymorph in this dataset (kJ/mol of formula units): 0
DOS at the Fermi energy (states/eV per atom): 0.508
M_tot (μB per atom): 0.00

***

# 11
Computed, not measured: CaAc2Cu after structural relaxation at the PBE-GGA level of DFT.

Cell lengths 4.0431, 4.0431, 32.0665 Å; angles 90.00, 90.00, 120.00 degrees
Space group R3m (No. 160, hexagonal axes)
Inequivalent atoms, fractional coordinates:
Ca (0.0000, 0.0000, 0.0000) (multiplicity 3)
Ac (0.0000, 0.0000, 0.2295) (multiplicity 3)
Ac (0.0000, 0.0000, 0.4359) (multiplicity 3)
Cu (0.0000, 0.0000, 0.8326) (multiplicity 3)

Results
Formation energy from the elements (kJ per mole of atoms): 6.0
Calculated volume (Å³ per atom): 37.83
Energy above the most stable polymorph in this dataset (kJ/mol of formula units): 38
DOS at the Fermi energy (states/eV per atom): 1.490
M_tot (μB per atom): 0.00

***

# 12
Computed, not measured: CsNiMo3 after structural relaxation at the PBE-GGA level of DFT.

Cell lengths 4.782, 4.782, 4.782 Å; angles 90.00, 90.00, 90.00 degrees
Space group Pm-3m (No. 221)
Inequivalent atoms, fractional coordinates:
Cs (0.000, 0.000, 0.000) (multiplicity 1)
Ni (0.500, 0.500, 0.500) (multiplicity 1)
Mo (0.000, 0.500, 0.500) (multiplicity 3)

Results
Formation energy from the elements (kJ per mole of atoms): 191.0
Calculated volume (Å³ per atom): 21.87
Energy above the most stable polymorph in this dataset (kJ/mol of formula units): 0
DOS at the Fermi energy (states/eV per atom): 1.054
M_tot (μB per atom): 0.94

***

# 13
Computed, not measured: Ta2AlAg after structural relaxation at the PBE-GGA level of DFT.

Cell lengths 2.845, 2.845, 8.614 Å; angles 90.00, 90.00, 90.00 degrees
Space group P4mm (No. 99)
Inequivalent atoms, fractional coordinates:
Ta (0.000, 0.000, 0.000) (multiplicity 1)
Ta (0.500, 0.500, 0.265) (multiplicity 1)
Al (0.500, 0.500, 0.761) (multiplicity 1)
Ag (0.000, 0.000, 0.527) (multiplicity 1)

Results
Formation energy from the elements (kJ per mole of atoms): 0.1
Calculated volume (Å³ per atom): 17.43
Energy above the most stable polymorph in this dataset (kJ/mol of formula units): 3
DOS at the Fermi energy (states/eV per atom): 0.688
M_tot (μB per atom): 0.00

***

# 14
Computed, not measured: NdY3Er4 after structural relaxation at the PBE-GGA level of DFT.

Cell lengths 23.537, 3.454, 6.681 Å; angles 90.00, 106.45, 90.00 degrees
Space group C2/m (No. 12)
Inequivalent atoms, fractional coordinates:
Nd (0.000, 0.000, 0.000) (multiplicity 2)
Y (0.000, 0.500, 0.500) (multiplicity 2)
Y (0.128, 0.500, 0.373) (multiplicity 4)
Er (0.126, 0.500, 0.882) (multiplicity 4)
Er (0.240, 0.000, 0.233) (multiplicity 4)

Results
Formation energy from the elements (kJ per mole of atoms): 17.1
Calculated volume (Å³ per atom): 32.55
Energy above the most stable polymorph in this dataset (kJ/mol of formula units): 132
DOS at the Fermi energy (states/eV per atom): 1.790
M_tot (μB per atom): 0.00

***

# 15
Computed, not measured: Ba3AlAg3 after structural relaxation at the PBE-GGA level of DFT.

Cell lengths 12.643, 4.808, 16.631 Å; angles 90.00, 110.36, 90.00 degrees
Space group C2/m (No. 12)
Inequivalent atoms, fractional coordinates:
Ba (0.026, 0.000, 0.390) (multiplicity 4)
Ba (0.102, 0.000, 0.921) (multiplicity 4)
Ba (0.248, 0.000, 0.237) (multiplicity 4)
Al (0.244, 0.500, 0.406) (multiplicity 4)
Ag (0.056, 0.500, 0.245) (multiplicity 4)
Ag (0.103, 0.500, 0.080) (multiplicity 4)
Ag (0.167, 0.500, 0.542) (multiplicity 4)

Results
Formation energy from the elements (kJ per mole of atoms): -23.0
Calculated volume (Å³ per atom): 33.85
Energy above the most stable polymorph in this dataset (kJ/mol of formula units): 0
DOS at the Fermi energy (states/eV per atom): 0.666
M_tot (μB per atom): 0.00

***

# 16
Computed, not measured: Si4AgMo after structural relaxation at the PBE-GGA level of DFT.

Cell lengths 7.023, 7.023, 7.023 Å; angles 90.00, 90.00, 90.00 degrees
Space group F-43m (No. 216)
Inequivalent atoms, fractional coordinates:
Si (0.124, 0.124, 0.376) (multiplicity 16)
Ag (0.000, 0.000, 0.000) (multiplicity 4)
Mo (0.250, 0.250, 0.750) (multiplicity 4)

Results
Calculated volume (Å³ per atom): 14.44
DOS at the Fermi energy (states/eV per atom): 0.589
M_tot (μB per atom): 0.00
Energy relative to the elements, uncorrected (eV per atom): 0.443

***

# 17
Computed, not measured: Dy3HoEr5 after structural relaxation at the PBE-GGA level of DFT.

Cell lengths 16.631, 9.605, 6.932 Å; angles 90.00, 90.00, 90.00 degrees
Space group Cmcm (No. 63)
Inequivalent atoms, fractional coordinates:
Dy (0.000, 0.000, 0.000) (multiplicity 4)
Dy (0.167, 0.500, 0.000) (multiplicity 8)
Ho (0.000, 0.355, 0.250) (multiplicity 4)
Er (0.000, 0.311, 0.750) (multiplicity 4)
Er (0.156, 0.156, 0.250) (multiplicity 8)
Er (0.177, 0.177, 0.750) (multiplicity 8)

Results
Formation energy from the elements (kJ per mole of atoms): 6.7
Calculated volume (Å³ per atom): 30.76
Energy above the most stable polymorph in this dataset (kJ/mol of formula units): 0
DOS at the Fermi energy (states/eV per atom): 1.515
M_tot (μB per atom): 0.00

***

# 18
Computed, not measured: Dy8InPb5 after structural relaxation at the PBE-GGA level of DFT.

Cell lengths 9.393, 9.393, 9.388 Å; angles 90.00, 90.00, 90.00 degrees
Space group I-4 (No. 82)
Inequivalent atoms, fractional coordinates:
Dy (0.069, 0.180, 0.196) (multiplicity 8)
Dy (0.072, 0.321, 0.553) (multiplicity 8)
In (0.000, 0.500, 0.250) (multiplicity 2)
Pb (0.000, 0.000, 0.500) (multiplicity 2)
Pb (0.125, 0.251, 0.875) (multiplicity 8)

Results
Formation energy from the elements (kJ per mole of atoms): -47.6
Calculated volume (Å³ per atom): 29.58
DOS at the Fermi energy (states/eV per atom): 0.681
M_tot (μB per atom): 0.00

***

# 19
Computed, not measured: ScAs2Ir after structural relaxation at the PBE-GGA level of DFT.

Cell lengths 4.590, 4.590, 3.156 Å; angles 90.00, 90.00, 90.00 degrees
Space group P4/mmm (No. 123)
Inequivalent atoms, fractional coordinates:
Sc (0.000, 0.000, 0.000) (multiplicity 1)
As (0.000, 0.500, 0.500) (multiplicity 2)
Ir (0.500, 0.500, 0.000) (multiplicity 1)

Results
Formation energy from the elements (kJ per mole of atoms): -48.8
Calculated volume (Å³ per atom): 16.62
Energy above the most stable polymorph in this dataset (kJ/mol of formula units): 58
DOS at the Fermi energy (states/eV per atom): 0.640
M_tot (μB per atom): 0.00

***

# 20
Computed, not measured: CeNbC2 after structural relaxation at the PBE-GGA level of DFT.

Cell lengths 3.3239, 3.3239, 17.3597 Å; angles 90.00, 90.00, 120.00 degrees
Space group R-3m (No. 166, hexagonal axes)
Inequivalent atoms, fractional coordinates:
Ce (0.0000, 0.0000, 0.0000) (multiplicity 3)
Nb (0.0000, 0.0000, 0.5000) (multiplicity 3)
C (0.0000, 0.0000, 0.2383) (multiplicity 6)

Results
Formation energy from the elements (kJ per mole of atoms): -33.0
Calculated volume (Å³ per atom): 13.84
Energy above the most stable polymorph in this dataset (kJ/mol of formula units): 8
DOS at the Fermi energy (states/eV per atom): 0.433
M_tot (μB per atom): 0.00